No. 1
Compound: ZnInSeBr2
Source: the Alexandria database
Functional: GGA-PBE
Structure: relaxed

Cell lengths 5.2935, 5.2935, 5.0099 Å; angles 90.00, 90.00, 90.00 degrees
Closest atoms and distances in Å follow each position.
Positions (direct):
Zn: 0.0000 0.0000 0.0000  2 Se 2.50, 4 Br 2.65
In: 0.5000 0.5000 0.5000  8 Br 3.64, 4 Se 3.74
Se: 0.0000 0.0000 0.5000  2 Zn 2.50
Br: 0.0000 0.5000 0.0000  2 Zn 2.65
Br: 0.5000 0.0000 0.0000  2 Zn 2.65

No. 2
Compound: ZnInSeBr2
Source: the Alexandria database
Functional: GGA-PBE
Structure: relaxed

Cell lengths 5.4108, 5.4108, 5.4430 Å; angles 90.00, 90.00, 90.00 degrees
Closest atoms and distances in Å follow each position.
Positions (direct):
Zn: 0.0000 0.0000 0.0000  4 Se 3.83, 8 Br 3.84
In: 0.5000 0.5000 0.5000  4 Br 2.71, 2 Se 2.72
Se: 0.5000 0.5000 0.0000  2 In 2.72
Br: 0.0000 0.5000 0.5000  2 In 2.71
Br: 0.5000 0.0000 0.5000  2 In 2.71

No. 3
Compound: ZrInSeBr2
Source: the Alexandria database
Functional: GGA-PBE
Structure: relaxed

Cell lengths 5.4069, 5.4069, 5.2636 Å; angles 90.00, 90.00, 90.00 degrees
Closest atoms and distances in Å follow each position.
Positions (direct):
Zr: 0.0000 0.0000 0.0000  2 Se 2.63, 4 Br 2.70
In: 0.5000 0.5000 0.5000  8 Br 3.77, 4 Se 3.82
Se: 0.0000 0.0000 0.5000  2 Zr 2.63
Br: 0.0000 0.5000 0.0000  2 Zr 2.70
Br: 0.5000 0.0000 0.0000  2 Zr 2.70

No. 4
Compound: ZrInSeBr2
Source: the Alexandria database
Functional: GGA-PBE
Structure: relaxed

Cell lengths 5.3269, 5.3269, 5.3778 Å; angles 90.00, 90.00, 90.00 degrees
Closest atoms and distances in Å follow each position.
Positions (direct):
Zr: 0.0000 0.0000 0.0000  4 Se 3.77, 8 Br 3.78
In: 0.5000 0.5000 0.5000  4 Br 2.66, 2 Se 2.69
Se: 0.5000 0.5000 0.0000  2 In 2.69
Br: 0.0000 0.5000 0.5000  2 In 2.66
Br: 0.5000 0.0000 0.5000  2 In 2.66

No. 5
Compound: ZrInSe2Br
Source: the Alexandria database
Functional: GGA-PBE
Structure: relaxed

Cell lengths 5.2621, 5.2621, 5.4372 Å; angles 90.00, 90.00, 90.00 degrees
Closest atoms and distances in Å follow each position.
Positions (direct):
Zr: 0.0000 0.0000 0.0000  4 Se 2.63, 2 Br 2.72
In: 0.5000 0.5000 0.5000  4 Br 3.72, 8 Se 3.78
Se: 0.0000 0.5000 0.0000  2 Zr 2.63
Se: 0.5000 0.0000 0.0000  2 Zr 2.63
Br: 0.0000 0.0000 0.5000  2 Zr 2.72

No. 6
Compound: ZrInSe2Br
Source: the Alexandria database
Functional: GGA-PBE
Structure: relaxed

Cell lengths 5.2571, 5.2571, 5.2048 Å; angles 90.00, 90.00, 90.00 degrees
Closest atoms and distances in Å follow each position.
Positions (direct):
Zr: 0.0000 0.0000 0.0000  8 Se 3.70, 4 Br 3.72
In: 0.5000 0.5000 0.5000  2 Br 2.60, 4 Se 2.63
Se: 0.0000 0.5000 0.5000  2 In 2.63
Se: 0.5000 0.0000 0.5000  2 In 2.63
Br: 0.5000 0.5000 0.0000  2 In 2.60

No. 7
Compound: InSiBr
Source: the Alexandria database
Functional: GGA-PBE
Structure: relaxed

Cell lengths 3.5440, 3.5440, 7.4913 Å; angles 90.00, 90.00, 120.00 degrees
Closest atoms and distances in Å follow each position.
Positions (direct):
In: 0.0000 0.0000 0.0000  3 Si 2.87, 3 Br 2.87
Si: 0.6667 0.3333 0.2677  3 In 2.87
Br: 0.3333 0.6667 0.7309  3 In 2.87

No. 8
Compound: In3SiBr
Source: the Alexandria database
Functional: GGA-PBE
Structure: relaxed

Cell lengths 5.7857, 5.7857, 5.7857 Å; angles 90.00, 90.00, 90.00 degrees
Closest atoms and distances in Å follow each position.
Positions (direct):
In: 0.0000 0.0000 0.5000  2 Br 2.89
In: 0.0000 0.5000 0.0000  2 Br 2.89
In: 0.5000 0.0000 0.0000  2 Br 2.89
Si: 0.5000 0.5000 0.5000  12 In 4.09
Br: 0.0000 0.0000 0.0000  6 In 2.89

No. 9
Compound: InSiBr2
Source: the Alexandria database
Functional: GGA-PBE
Structure: relaxed

Cell lengths 3.8972, 3.8972, 26.3764 Å; angles 90.00, 90.00, 120.00 degrees
Closest atoms and distances in Å follow each position.
Positions (direct):
In: 0.0000 0.0000 0.0000  3 Si 2.82, 3 Br 2.94
In: 0.3333 0.6667 0.6667  3 Si 2.82, 3 Br 2.94
In: 0.6667 0.3333 0.3333  3 Si 2.82, 3 Br 2.94
Si: 0.0000 0.0000 0.7314  3 Br 2.82, 3 In 2.82
Si: 0.3333 0.6667 0.3980  3 Br 2.82, 3 In 2.82
Si: 0.6667 0.3333 0.0647  3 Br 2.82, 3 In 2.82
Br: 0.0000 0.0000 0.2615  3 In 2.94
Br: 0.0000 0.0000 0.4624  3 Si 2.82
Br: 0.3333 0.6667 0.1291  3 Si 2.82
Br: 0.3333 0.6667 0.9282  3 In 2.94
Br: 0.6667 0.3333 0.5948  3 In 2.94
Br: 0.6667 0.3333 0.7957  3 Si 2.82

No. 10
Compound: InSiBr2
Source: the Alexandria database
Functional: GGA-PBE
Structure: relaxed

Cell lengths 16.3118, 3.6879, 4.2833 Å; angles 90.00, 103.63, 90.00 degrees
Closest atoms and distances in Å follow each position.
Positions (direct):
In: 0.0000 0.0000 0.0000  2 Si 2.95, 4 Br 3.09-3.15
In: 0.5000 0.5000 0.0000  2 Si 2.95, 4 Br 3.09-3.15
Si: 0.3548 0.0000 0.8924  2 Br 2.66, 2 In 2.95
Si: 0.8548 0.5000 0.8924  2 Br 2.66, 2 In 2.95
Br: 0.0836 0.5000 0.5857  4 In 3.09-3.15
Br: 0.3197 0.5000 0.2875  2 Si 2.66
Br: 0.5836 0.0000 0.5857  4 In 3.09-3.15
Br: 0.8197 0.0000 0.2875  2 Si 2.66

No. 11
Compound: InSiBr2
Source: the Alexandria database
Functional: GGA-PBE
Structure: relaxed

Cell lengths 7.5978, 7.6095, 3.6806 Å; angles 90.00, 90.00, 90.00 degrees
Closest atoms and distances in Å follow each position.
Positions (direct):
In: 0.0000 0.0000 0.0000  8 Br 3.26
In: 0.5000 0.5000 0.0000  8 Br 3.26
Si: 0.0000 0.5000 0.0000  8 Br 3.26
Si: 0.5000 0.0000 0.0000  8 Br 3.26
Br: 0.2500 0.2500 0.5000  4 In 3.26, 4 Si 3.26
Br: 0.2500 0.7500 0.5000  4 In 3.26, 4 Si 3.26
Br: 0.7500 0.2500 0.5000  4 Si 3.26, 4 In 3.26
Br: 0.7500 0.7500 0.5000  4 In 3.26, 4 Si 3.26

No. 12
Compound: InSiBr2
Source: the Alexandria database
Functional: GGA-PBE
Structure: relaxed

Cell lengths 7.4319, 7.4319, 7.4319 Å; angles 90.00, 90.00, 90.00 degrees
Closest atoms and distances in Å follow each position.
Positions (direct):
In: 0.0000 0.0000 0.0000  4 Br 3.22, 4 Si 3.22
In: 0.0000 0.5000 0.5000  4 Br 3.22, 4 Si 3.22
In: 0.5000 0.0000 0.5000  4 Br 3.22, 4 Si 3.22
In: 0.5000 0.5000 0.0000  4 Br 3.22, 4 Si 3.22
Si: 0.2500 0.2500 0.2500  4 In 3.22, 4 Br 3.22
Si: 0.2500 0.7500 0.7500  4 In 3.22, 4 Br 3.22
Si: 0.7500 0.2500 0.7500  4 In 3.22, 4 Br 3.22
Si: 0.7500 0.7500 0.2500  4 In 3.22, 4 Br 3.22
Br: 0.0000 0.0000 0.5000  4 Br 3.22, 4 Si 3.22
Br: 0.0000 0.5000 0.0000  4 Br 3.22, 4 Si 3.22
Br: 0.2500 0.2500 0.7500  4 Br 3.22, 4 In 3.22
Br: 0.2500 0.7500 0.2500  4 Br 3.22, 4 In 3.22
Br: 0.5000 0.0000 0.0000  4 Br 3.22, 4 Si 3.22
Br: 0.5000 0.5000 0.5000  4 Br 3.22, 4 Si 3.22
Br: 0.7500 0.2500 0.2500  4 Br 3.22, 4 In 3.22
Br: 0.7500 0.7500 0.7500  4 Br 3.22, 4 In 3.22

| no. | calculated volume (Å³ per cell) | E_form (uncorrected) (kcal/mol of atoms) |
| --- | --- | --- |
| 1 | 140 | -7.201 |
| 2 | 159 | -1.040 |
| 3 | 154 | -18.907 |
| 4 | 153 | 4.721 |
| 5 | 151 | -19.106 |
| 6 | 144 | 4.926 |
| 7 | 81 | 5.478 |
| 8 | 194 | 17.157 |
| 9 | 347 | -0.679 |
| 10 | 250 | -1.113 |
| 11 | 213 | 3.498 |
| 12 | 410 | 7.624 |